1.
This record from Alexandria via LeMat-Bulk describes Y2TaOs after structural relaxation. The functional is PBE.

a = 3.420 Å, b = 5.105 Å, c = 10.498 Å
α = 90.00°, β = 90.00°, γ = 90.00°
Space group Imm2 (No. 44)
Symmetry-distinct sites (fractional):
Y 0.000 0.000 0.000 x2
Y 0.000 0.500 0.212 x2
Ta 0.000 0.000 0.417 x2
Os 0.000 0.500 0.738 x2

Calculated values
Formation energy from the elements ... -0.044 eV/atom
E above lowest polymorph ... 0.024 eV/atom
Total moment ... 0.00 μB/cell
Electronic total energy ... -0.332 hartree per atom

***

2.
This record from Alexandria via LeMat-Bulk describes Zn5In after structural relaxation. The functional is PBE.

a = 7.481 Å, b = 7.481 Å, c = 7.481 Å
α = 90.00°, β = 90.00°, γ = 90.00°
Space group F-43m (No. 216)
Symmetry-distinct sites (fractional):
Zn 0.000 0.000 0.000 x4
Zn 0.126 0.126 0.626 x16
In 0.250 0.250 0.250 x4

Calculated values
Formation energy from the elements ... 0.091 eV/atom
Total moment ... 0.00 μB/cell
Electronic total energy ... -0.052 hartree per atom

***

3.
This record from Alexandria via LeMat-Bulk describes KCeWN3 after structural relaxation. The functional is PBE.

a = 13.784 Å, b = 3.942 Å, c = 7.743 Å
α = 90.00°, β = 105.12°, γ = 90.00°
Space group C2/m (No. 12)
Symmetry-distinct sites (fractional):
K 0.142 0.000 0.067 x4
Ce 0.164 0.000 0.585 x4
W 0.002 0.500 0.327 x4
N 0.013 0.000 0.314 x4
N 0.139 0.500 0.776 x4
N 0.166 0.500 0.392 x4

Calculated values
Formation energy without anion corrections ... -4.3 eV per formula unit
Total moment ... 0.00 μB/cell
Electronic total energy ... -0.302 hartree per atom

***

4.
This record from Alexandria via LeMat-Bulk describes Li2VAs2 after structural relaxation. The functional is PBE.

a = 7.279 Å, b = 7.279 Å, c = 2.837 Å
α = 90.00°, β = 90.00°, γ = 90.00°
Space group P4/mbm (No. 127)
Symmetry-distinct sites (fractional):
Li 0.112 0.388 0.000 x4
V 0.000 0.000 0.000 x2
As 0.187 0.687 0.500 x4

Calculated values
Formation energy from the elements ... -0.153 eV/atom
Total moment ... 3.75 μB/cell
Electronic total energy ... -0.169 hartree per atom

***

5.
This record from Alexandria via LeMat-Bulk describes MgV2InMo after structural relaxation. The functional is PBE.

a = 4.820 Å, b = 4.820 Å, c = 4.690 Å
α = 90.00°, β = 90.00°, γ = 90.00°
Space group P4/mmm (No. 123)
Symmetry-distinct sites (fractional):
Mg 0.000 0.000 0.000 x1
V 0.000 0.500 0.500 x2
In 0.000 0.000 0.500 x1
Mo 0.500 0.500 0.000 x1

Calculated values
Formation energy from the elements ... 1.972 eV/atom
Total moment ... 0.83 μB/cell
Electronic total energy ... -0.173 hartree per atom

***

6.
This record from Alexandria via LeMat-Bulk describes TaCrSi2 after structural relaxation. The functional is PBE.

a = 3.514 Å, b = 3.724 Å, c = 4.349 Å
α = 90.00°, β = 90.00°, γ = 90.00°
Space group Pmmm (No. 47)
Symmetry-distinct sites (fractional):
Ta 0.000 0.000 0.000 x1
Cr 0.500 0.000 0.500 x1
Si 0.000 0.500 0.500 x1
Si 0.500 0.500 0.000 x1

Calculated values
Formation energy without anion corrections ... -0.4 eV per formula unit
Total moment ... 1.69 μB/cell
Electronic total energy ... -0.301 hartree per atom

***

7.
This record from Alexandria via LeMat-Bulk describes PCSCl2 after structural relaxation. The functional is PBE.

a = 4.664 Å, b = 4.664 Å, c = 4.687 Å
α = 90.00°, β = 90.00°, γ = 90.00°
Space group P4/mmm (No. 123)
Symmetry-distinct sites (fractional):
P 0.000 0.000 0.000 x1
C 0.500 0.500 0.500 x1
S 0.000 0.000 0.500 x1
Cl 0.000 0.500 0.000 x2

Calculated values
Formation energy without anion corrections ... 7.6 eV per formula unit
E above lowest polymorph ... 0.106 eV/atom
Total moment ... 1.24 μB/cell
Electronic total energy ... -0.109 hartree per atom

***

8.
This record from Alexandria via LeMat-Bulk describes CsCeZn2Br8 after structural relaxation. The functional is PBE.

a = 6.9715 Å, b = 6.9715 Å, c = 31.9544 Å
α = 90.00°, β = 90.00°, γ = 120.00°
Space group R-3 (No. 148, hexagonal axes)
Symmetry-distinct sites (fractional):
Cs 0.0000 0.0000 0.0000 x3
Ce 0.0000 0.0000 0.5000 x3
Zn 0.0000 0.0000 0.2481 x6
Br 0.0000 0.0000 0.3217 x6
Br 0.0038 0.6615 0.5542 x18

Calculated values
Formation energy without anion corrections ... -16.0 eV per formula unit
Total moment ... 3.00 μB/cell
Electronic total energy ... -0.119 hartree per atom

***

9.
This record from Alexandria via LeMat-Bulk describes ZrCrPtRh after structural relaxation. The functional is PBE.

a = 6.443 Å, b = 6.443 Å, c = 6.443 Å
α = 90.00°, β = 90.00°, γ = 90.00°
Space group F-43m (No. 216)
Symmetry-distinct sites (fractional):
Zr 0.000 0.000 0.000 x4
Cr 0.000 0.000 0.500 x4
Pt 0.250 0.250 0.750 x4
Rh 0.250 0.250 0.250 x4

Calculated values
Formation energy from the elements ... -0.482 eV/atom
Total moment ... 16.91 μB/cell
Electronic total energy ... -0.308 hartree per atom

***

10.
This record from Alexandria via LeMat-Bulk describes BaSr3Ga after structural relaxation. The functional is PBE.

a = 6.349 Å, b = 6.349 Å, c = 6.349 Å
α = 90.00°, β = 90.00°, γ = 90.00°
Space group Pm-3m (No. 221)
Symmetry-distinct sites (fractional):
Ba 0.000 0.000 0.000 x1
Sr 0.000 0.500 0.500 x3
Ga 0.500 0.500 0.500 x1

Calculated values
Formation energy from the elements ... -0.097 eV/atom
E above lowest polymorph ... 0.027 eV/atom
Total moment ... 0.00 μB/cell
Electronic total energy ... -0.077 hartree per atom

***

11.
This record from Alexandria via LeMat-Bulk describes KTa2Mo after structural relaxation. The functional is PBE.

a = 3.224 Å, b = 4.826 Å, c = 10.871 Å
α = 90.00°, β = 90.00°, γ = 90.00°
Space group Cmm2 (No. 35)
Symmetry-distinct sites (fractional):
K 0.000 0.000 0.000 x2
Ta 0.000 0.000 0.520 x2
Ta 0.000 0.500 0.304 x2
Mo 0.000 0.500 0.714 x2

Calculated values
Formation energy from the elements ... 0.639 eV/atom
E above lowest polymorph ... 0.058 eV/atom
Total moment ... 0.00 μB/cell
Electronic total energy ... -0.304 hartree per atom

***

12.
This record from Alexandria via LeMat-Bulk describes Tl3NiBr6 after structural relaxation. The functional is PBE.

a = 7.483 Å, b = 7.893 Å, c = 13.174 Å
α = 90.00°, β = 124.22°, γ = 90.00°
Space group P2_1/c (No. 14)
Symmetry-distinct sites (fractional):
Tl 0.000 0.000 0.000 x2
Tl 0.276 0.072 0.753 x4
Ni 0.500 0.000 0.500 x2
Br 0.203 0.011 0.275 x4
Br 0.263 0.675 0.036 x4
Br 0.359 0.233 0.037 x4

Calculated values
Formation energy without anion corrections ... -6.0 eV per formula unit
E above lowest polymorph ... 0.000 eV/atom
Total moment ... 1.93 μB/cell
Electronic total energy ... -0.106 hartree per atom

***

Question: Among the records above, which one has the highest electronic total energy?
Answer: Zn5In

***

Question: Which of these has the highest electronic total energy?
Answer: Zn5In

***

Question: Which of these has the highest total moment?
Answer: ZrCrPtRh